## LiCdNi2 (GGA-PBEsol)

Data for a relaxed structure of LiCdNi2.

Cell: 2.674 3.686 5.223 Å, 90.00 90.00 90.00°
Fractional positions:
Li 0.000 0.000 0.000
Cd 0.000 0.000 0.500
Ni 0.500 0.500 0.230
Ni 0.500 0.500 0.770

total moment = 0.000 μB/f.u.
V = 12.871 Å³ per atom
energy of formation = 94 meV/atom
symmetry = Pmmm